VASP calculation (PBE) on Re2AsRu after structural relaxation.

Symmetry: P4/mmm
DOS(E_F): 1.34 states/eV/atom
DFT formation energy: 0.547 eV/atom

Structure (extended XYZ):
```
4
Lattice="4.4501 0.0000 0.0000 0.0000 3.6813 0.0000 0.0000 0.0000 3.6813" Properties=species:S:1:pos:R:3 pbc="T T T"
Re 0.0000 0.0000 0.0000
Re 0.0000 1.8406 1.8406
As 2.2251 0.0000 1.8406
Ru 2.2251 1.8406 0.0000
```



VASP calculation (PBE) on Re2AsRu after structural relaxation.

Symmetry: Cmm2
DOS(E_F): 1.10 states/eV/atom
DFT formation energy: 0.491 eV/atom

Structure (extended XYZ):
```
4
Lattice="-1.8025 1.8971 -0.9478 -0.9369 -1.8109 1.8945 2.4212 5.5481 6.5009" Properties=species:S:1:pos:R:3 pbc="T T T"
Re 0.0121 0.0276 0.0324
Re -0.7618 1.4360 2.1054
As 0.4223 4.1493 5.2848
Ru 1.2199 2.7954 3.2755
```



For the records above, the corresponding ρ values read 15.100 14.882 g/cm3.
For the records above, the corresponding electronic total energy values read -9.159 -9.214 eV/atom.